CaTl4CdO8 after structural relaxation, computed with GGA-PBE.

abc: 6.849 6.849 6.800
angles: 59.76 59.76 60.00
Sites, in units of the cell vectors:
Ca (0.378, 0.378, 0.867)
O (0.241, 0.241, 0.276)
O (0.756, 0.756, 0.732)
O (0.222, 0.758, 0.263)
O (0.243, 0.782, 0.731)
O (0.782, 0.243, 0.731)
O (0.758, 0.222, 0.263)
O (0.243, 0.243, 0.731)
O (0.758, 0.758, 0.263)
Tl (0.002, 0.492, 0.503)
Tl (0.620, 0.620, 0.139)
Tl (0.002, 0.002, 0.503)
Tl (0.492, 0.002, 0.503)
Cd (0.002, 0.002, 0.994)

Results
Formation energy (no corrections): -1.0453 eV/atom
Symmetry: R3m (160)
Density: 8.1 g/cm³